Below is a relaxed Ba3NiSb2O9 crystal, with properties calculated at the PBE+U level.

Computed properties:
- D(E_F): 0.057 states/eV/atom
- Space-group type: P-3m1, No. 164
- Total energy: -91.44 eV for the cell shown

a = 5.8369 Å, b = 5.8369 Å, c = 7.1767 Å
α = 90.00°, β = 90.00°, γ = 120.00°
Closest atoms and distances in Å follow each position.
Sites, in units of the cell vectors:
Ba: 0.0000 0.0000 0.0000  12 O 2.89-2.92
Ba: 0.3333 0.6667 0.6564  12 O 2.90-2.99
Ba: 0.6667 0.3333 0.3436  12 O 2.90-2.99
Ni: 0.0000 0.0000 0.5000  6 O 2.13
Sb: 0.3333 0.6667 0.1738  6 O 1.97-2.10
Sb: 0.6667 0.3333 0.8262  6 O 1.97-2.10
O: 0.0000 0.5000 0.0000  2 Sb 2.10
O: 0.1701 0.3402 0.3242  1 Sb 1.97, 1 Ni 2.13
O: 0.1701 0.8299 0.3242  1 Sb 1.97, 1 Ni 2.13
O: 0.3402 0.1701 0.6758  1 Sb 1.97, 1 Ni 2.13
O: 0.5000 0.0000 0.0000  2 Sb 2.10
O: 0.5000 0.5000 0.0000  2 Sb 2.10
O: 0.6598 0.8299 0.3242  1 Sb 1.97, 1 Ni 2.13
O: 0.8299 0.1701 0.6758  1 Sb 1.97, 1 Ni 2.13
O: 0.8299 0.6598 0.6758  1 Sb 1.97, 1 Ni 2.13